DFT (PBE) results for Sm6Tm5 after structural relaxation.

The value obtained for the total magnetization is 0.00 μB/f.u. As for the final energy: -4.480 eV per atom. Its crystal system is monoclinic. The calculation puts the distance to the lowest polymorph of the same formula at 0.15 eV/f.u.

The structure belongs to space group C2/m (No. 12); the cell edges are 10.134, 13.222 and 6.006 Å and the angles 90.00°, 116.08° and 90.00°. The inequivalent atoms are Sm at (0.185, 0.000, 0.098), Sm at (0.186, 0.140, 0.614), Tm at (0.000, 0.233, 0.000), Tm at (0.000, 0.371, 0.500) and Tm at (0.000, 0.500, 0.000).

DFT (PBE) results for Sm5Tm7 after structural relaxation.

The value obtained for the total magnetization is 0.00 μB/f.u. As for the final energy: -4.568 eV per atom. Its crystal system is monoclinic. The calculation puts the distance to the lowest polymorph of the same formula at 0.00 eV/f.u.

The structure belongs to space group C2/m (No. 12); the cell edges are 18.455, 3.564 and 13.026 Å and the angles 90.00°, 118.17° and 90.00°. The inequivalent atoms are Sm at (0.000, 0.000, 0.000), Sm at (0.165, 0.000, 0.498), Sm at (0.195, 0.500, 0.751), Tm at (0.000, 0.500, 0.500), Tm at (0.028, 0.000, 0.750), Tm at (0.138, 0.500, 0.248) and Tm at (0.166, 0.500, 0.997).

DFT (PBE) results for SmTm2 after structural relaxation.

The value obtained for the total magnetization is 0.00 μB/f.u. As for the final energy: -4.548 eV per atom. Its crystal system is monoclinic. The calculation puts the distance to the lowest polymorph of the same formula at 0.04 eV/f.u.

The structure belongs to space group C2/c (No. 15); the cell edges are 10.817, 6.244 and 6.674 Å and the angles 90.00°, 122.68° and 90.00°. The inequivalent atoms are Sm at (0.000, 0.085, 0.250) and Tm at (0.166, 0.418, 0.751).

DFT (PBE) results for Sm3Tm after structural relaxation.

The value obtained for the total magnetization is 0.00 μB/f.u. As for the final energy: -4.630 eV per atom. Its crystal system is orthorhombic. The calculation puts the distance to the lowest polymorph of the same formula at 0.04 eV/f.u.

The structure belongs to space group Pmm2 (No. 25); the cell edges are 3.654, 5.758 and 6.314 Å and the angles 90.00°, 90.00° and 90.00°. The inequivalent atoms are Sm at (0.000, 0.000, 0.000), Sm at (0.000, 0.500, 0.335), Sm at (0.500, 0.500, 0.834) and Tm at (0.500, 0.000, 0.502).

DFT (PBE) results for Sm3Tm after structural relaxation.

The value obtained for the total magnetization is 0.00 μB/f.u. As for the final energy: -4.639 eV per atom. Its crystal system is cubic. The calculation puts the distance to the lowest polymorph of the same formula at 0.01 eV/f.u.

The structure belongs to space group Pm-3m (No. 221); the cell edges are 5.079, 5.079 and 5.079 Å and the angles 90.00°, 90.00° and 90.00°. The inequivalent atoms are Sm at (0.000, 0.000, 0.500) and Tm at (0.500, 0.500, 0.500).

DFT (PBE) results for SmTm6 after structural relaxation.

The value obtained for the total magnetization is 0.39 μB/f.u. As for the final energy: -4.237 eV per atom. Its crystal system is tetragonal.

The structure belongs to space group P4/nbm (No. 125, origin choice 2); the cell edges are 6.449, 6.449 and 10.851 Å and the angles 90.00°, 90.00° and 90.00°. The inequivalent atoms are Sm at (0.250, 0.750, 0.000), Tm at (0.081, 0.581, 0.364) and Tm at (0.250, 0.250, 0.143).

DFT (PBE) results for Sm7Tm3 after structural relaxation.

The value obtained for the total magnetization is 0.00 μB/f.u. As for the final energy: -4.590 eV per atom. Its crystal system is monoclinic. The calculation puts the distance to the lowest polymorph of the same formula at 0.00 eV/f.u.

The structure belongs to space group C2/m (No. 12); the cell edges are 18.298, 5.502 and 7.058 Å and the angles 90.00°, 112.61° and 90.00°. The inequivalent atoms are Sm at (0.000, 0.000, 0.000), Sm at (0.109, 0.500, 0.360), Sm at (0.109, 0.500, 0.859), Sm at (0.198, 0.000, 0.699), Tm at (0.000, 0.000, 0.500) and Tm at (0.200, 0.000, 0.200).

DFT (PBE) results for Sm7Tm3 after structural relaxation.

The value obtained for the total magnetization is 0.00 μB/f.u. As for the final energy: -4.480 eV per atom. Its crystal system is hexagonal. The calculation puts the distance to the lowest polymorph of the same formula at 1.10 eV/f.u.

The structure belongs to space group P6_3mc (No. 186); the cell edges are 11.5844, 11.5844 and 5.6907 Å and the angles 90.00°, 90.00° and 120.00°. The inequivalent atoms are Sm at (0.0497, 0.5248, 0.0000), Sm at (0.1154, 0.2307, 0.9971), Sm at (0.3333, 0.6667, 0.9950) and Tm at (0.2245, 0.4491, 0.4972).

DFT (PBE) results for Sm2Tm after structural relaxation.

The value obtained for the total magnetization is 0.00 μB/f.u. As for the final energy: -4.494 eV per atom. Its crystal system is tetragonal. The calculation puts the distance to the lowest polymorph of the same formula at 0.36 eV/f.u.

The structure belongs to space group I4_1/amd (No. 141, origin choice 2); the cell edges are 3.481, 3.481 and 32.921 Å and the angles 90.00°, 90.00° and 90.00°. The inequivalent atoms are Sm at (0.000, 0.250, 0.297) and Tm at (0.000, 0.250, 0.875).

DFT (PBE) results for Sm3Tm after structural relaxation.

The value obtained for the total magnetization is 0.00 μB/f.u. As for the final energy: -4.519 eV per atom. Its crystal system is cubic. The calculation puts the distance to the lowest polymorph of the same formula at 0.48 eV/f.u.

The structure belongs to space group Fm-3m (No. 225); the cell edges are 8.093, 8.093 and 8.093 Å and the angles 90.00°, 90.00° and 90.00°. The inequivalent atoms are Sm at (0.000, 0.000, 0.000), Sm at (0.250, 0.250, 0.250) and Tm at (0.000, 0.000, 0.500).

DFT (PBE) results for Sm7Tm2 after structural relaxation.

The value obtained for the total magnetization is 0.00 μB/f.u. As for the final energy: -4.646 eV per atom. Its crystal system is trigonal.

The structure belongs to space group P-31m (No. 162); the cell edges are 6.2308, 6.2308 and 8.7983 Å and the angles 90.00°, 90.00° and 120.00°. The inequivalent atoms are Sm at (0.0000, 0.0000, 0.0000), Sm at (0.0000, 0.3342, 0.6695) and Tm at (0.3333, 0.6667, 0.0000).

DFT (PBE) results for Sm2Tm5 after structural relaxation.

The value obtained for the total magnetization is 0.00 μB/f.u. As for the final energy: -4.518 eV per atom. Its crystal system is monoclinic. The calculation puts the distance to the lowest polymorph of the same formula at 0.14 eV/f.u.

The structure belongs to space group C2/m (No. 12); the cell edges are 11.126, 4.991 and 7.894 Å and the angles 90.00°, 98.20° and 90.00°. The inequivalent atoms are Sm at (0.071, 0.000, 0.216), Tm at (0.000, 0.500, 0.500), Tm at (0.143, 0.500, 0.928) and Tm at (0.214, 0.000, 0.643).

Question: Among the records above, which one has the highest final energy?
Answer: SmTm6